! Pd2Pt5Rh5 (PBE-GGA, relaxed); values from VASP
! Volume = 179.6 Å³/cell
! VASP energy = -6.44 eV/atom
&SYSTEM
  ibrav = 0, nat = 12, ntyp = 3
/
ATOMIC_SPECIES
Pd 106.42 Pd.upf
Pt 195.08 Pt.upf
Rh 102.91 Rh.upf
ATOMIC_POSITIONS crystal
Pd 0.0832 0.0832 0.2512
Pd 0.9168 0.9168 0.7488
Pt 0.0000 0.0000 0.5000
Pt 0.1661 0.1661 0.9999
Pt 0.2496 0.2496 0.7471
Pt 0.7504 0.7504 0.2529
Pt 0.8339 0.8339 0.0001
Rh 0.3341 0.3341 0.5006
Rh 0.4176 0.4176 0.2531
Rh 0.5000 0.5000 0.0000
Rh 0.5824 0.5824 0.7469
Rh 0.6659 0.6659 0.4994
CELL_PARAMETERS angstrom
5.8781 -1.9502 0.0000
5.8781 1.9502 0.0000
-3.9261 0.0000 7.8352

---

! PdPt12Rh3 (PBE-GGA, relaxed); values from VASP
! Volume = 245.7 Å³/cell
! VASP energy = -6.26 eV/atom
&SYSTEM
  ibrav = 0, nat = 16, ntyp = 3
/
ATOMIC_SPECIES
Pd 106.42 Pd.upf
Pt 195.08 Pt.upf
Rh 102.91 Rh.upf
ATOMIC_POSITIONS crystal
Pd 0.0000 0.0000 0.0000
Pt 0.0000 0.5000 0.1265
Pt 0.0000 0.5000 0.3753
Pt 0.0000 0.5000 0.6247
Pt 0.0000 0.5000 0.8735
Pt 0.5000 0.0000 0.1265
Pt 0.5000 0.0000 0.3753
Pt 0.5000 0.0000 0.6247
Pt 0.5000 0.0000 0.8735
Pt 0.5000 0.5000 0.0000
Pt 0.5000 0.5000 0.2505
Pt 0.5000 0.5000 0.5000
Pt 0.5000 0.5000 0.7495
Rh 0.0000 0.0000 0.2515
Rh 0.0000 0.0000 0.5000
Rh 0.0000 0.0000 0.7485
CELL_PARAMETERS angstrom
3.9440 0.0000 0.0000
0.0000 3.9440 0.0000
0.0000 0.0000 15.7981

---

! Pd2PtRh (PBE-GGA, relaxed); values from VASP
! Volume = 61.2 Å³/cell
! Energy above the most stable polymorph in this dataset = 0.134 eV/atom
&SYSTEM
  ibrav = 0, nat = 4, ntyp = 3
/
ATOMIC_SPECIES
Pd 106.42 Pd.upf
Pt 195.08 Pt.upf
Rh 102.91 Rh.upf
ATOMIC_POSITIONS crystal
Pd 0.2500 0.2500 0.2500
Pd 0.7500 0.7500 0.7500
Pt 0.0000 0.0000 0.0000
Rh 0.5000 0.5000 0.5000
CELL_PARAMETERS angstrom
0.0000 3.1273 3.1273
3.1273 0.0000 3.1273
3.1273 3.1273 0.0000

---

What is the formula in the first record? Pd2Pt5Rh5